Computed, not measured: a relaxed structure of Tm2Ga12Pt7 at the GGA-PBE level of DFT.

The value obtained for the total energy is -4.878 eV/atom. For the magnetization, the calculation gives 0.00 μB/f.u. As for the formation enthalpy at 0 K: -0.7091 eV/atom.

It has space group P-6 (No. 174), with a = 10.6292 Å, b = 10.6292 Å, c = 3.7328 Å, α = 90.00°, β = 90.00° and γ = 120.00°. The distinct sites, in fractional coordinates, are Tm at (0.0000, 0.0000, 0.0000), Tm at (0.3333, 0.6667, 0.5000), Ga at (0.0463, 0.7672, 0.5000), Ga at (0.1200, 0.3949, 0.0000), Ga at (0.3878, 0.2171, 0.0000), Ga at (0.5249, 0.1120, 0.5000), Pt at (0.0709, 0.6059, 0.0000), Pt at (0.2431, 0.0346, 0.5000) and Pt at (0.6667, 0.3333, 0.0000).


Computed, not measured: a relaxed structure of Tm4Ga3Pt at the GGA-PBE level of DFT.

The value obtained for the total energy is -4.913 eV/atom. For the magnetization, the calculation gives 0.00 μB/f.u. As for the formation enthalpy at 0 K: -0.7872 eV/atom.

It has space group Pmm2 (No. 25), with a = 3.821 Å, b = 4.312 Å, c = 10.914 Å, α = 90.00°, β = 90.00° and γ = 90.00°. The distinct sites, in fractional coordinates, are Tm at (0.000, 0.000, 0.000), Tm at (0.000, 0.500, 0.272), Tm at (0.500, 0.000, 0.476), Tm at (0.500, 0.500, 0.780), Ga at (0.000, 0.000, 0.707), Ga at (0.000, 0.500, 0.556), Ga at (0.500, 0.500, 0.050) and Pt at (0.500, 0.000, 0.211).


Computed, not measured: a relaxed structure of Tm3GaPt12 at the GGA-PBE level of DFT.

The value obtained for the total energy is -6.481 eV/atom. For the magnetization, the calculation gives 0.00 μB/f.u. As for the formation enthalpy at 0 K: -0.9231 eV/atom.

It has space group P4/mmm (No. 123), with a = 4.072 Å, b = 4.072 Å, c = 16.108 Å, α = 90.00°, β = 90.00° and γ = 90.00°. The distinct sites, in fractional coordinates, are Tm at (0.000, 0.000, 0.000), Tm at (0.000, 0.000, 0.254), Ga at (0.000, 0.000, 0.500), Pt at (0.000, 0.500, 0.127), Pt at (0.000, 0.500, 0.383), Pt at (0.500, 0.500, 0.000), Pt at (0.500, 0.500, 0.256) and Pt at (0.500, 0.500, 0.500).


Computed, not measured: a relaxed structure of TmGa4Pt6 at the GGA-PBE level of DFT.

The value obtained for the total energy is -5.418 eV/atom. For the magnetization, the calculation gives 0.00 μB/f.u. As for the formation enthalpy at 0 K: -0.6162 eV/atom.

It has space group I-42m (No. 121), with a = 5.387 Å, b = 5.387 Å, c = 13.083 Å, α = 90.00°, β = 90.00° and γ = 90.00°. The distinct sites, in fractional coordinates, are Tm at (0.000, 0.000, 0.000), Ga at (0.193, 0.193, 0.365), Pt at (0.000, 0.500, 0.000) and Pt at (0.228, 0.228, 0.174).